# ScZnRh3

A relaxed structure of ScZnRh3 (PBE, the Alexandria database).

Unit cell a=4.5216 b=4.5216 c=4.5216 alpha=90.00 beta=90.00 gamma=90.00
Space group Pm-3m (No. 221)
Asymmetric unit:
1 Sc 0.0000 0.0000 0.0000 x1
2 Zn 0.5000 0.5000 0.5000 x1
3 Rh 0.0000 0.5000 0.5000 x3

Output
- ρ (Mg/m³) = 7.53
- excess energy over the best structure of this formula in the dataset (meV per atom) = 527
- DFT total energy (eV per atom) = -5.605
- DFT formation energy (meV per atom) = 327
- total moment (μB per formula unit) = 1.4

# ScZn3Rh

A relaxed structure of ScZn3Rh (PBE, the Alexandria database).

Unit cell a=4.6892 b=4.6892 c=4.6892 alpha=90.00 beta=90.00 gamma=90.00
Space group Pm-3m (No. 221)
Asymmetric unit:
1 Sc 0.0000 0.0000 0.0000 x1
2 Zn 0.0000 0.5000 0.5000 x3
3 Rh 0.5000 0.5000 0.5000 x1

Output
- ρ (Mg/m³) = 5.54
- excess energy over the best structure of this formula in the dataset (meV per atom) = 0
- DFT total energy (eV per atom) = -3.443
- DFT formation energy (meV per atom) = 58
- total moment (μB per formula unit) = 0.4

# ScZn2Rh

A relaxed structure of ScZn2Rh (PBE, the Alexandria database).

Unit cell a=3.0059 b=3.8202 c=5.5264 alpha=90.00 beta=90.00 gamma=90.00
Space group Pmmm (No. 47)
Asymmetric unit:
1 Sc 0.0000 0.0000 0.0000 x1
2 Zn 0.5000 0.5000 0.2756 x2
3 Rh 0.0000 0.0000 0.5000 x1

Output
- ρ (Mg/m³) = 7.29
- DFT total energy (eV per atom) = -4.493
- DFT formation energy (meV per atom) = -435
- total moment (μB per formula unit) = 0.3

# Sc2Zn3Rh

A relaxed structure of Sc2Zn3Rh (PBE, the Alexandria database).

Unit cell a=8.9335 b=5.1365 c=5.2671 alpha=90.00 beta=124.20 gamma=90.00
Space group C2/m (No. 12)
Asymmetric unit:
1 Sc 0.1247 0.0000 0.3748 x4
2 Zn 0.0000 0.5000 0.0000 x2
3 Zn 0.2500 0.2500 0.0000 x4
4 Rh 0.0000 0.5000 0.5000 x2

Output
- ρ (Mg/m³) = 6.46
- DFT total energy (eV per atom) = -4.484
- DFT formation energy (meV per atom) = -511
- total moment (μB per formula unit) = 0.0

# ScZn5Rh6

A relaxed structure of ScZn5Rh6 (PBE, the Alexandria database).

Unit cell a=4.3196 b=6.1186 c=6.8135 alpha=90.00 beta=108.42 gamma=90.00
Space group P2/m (No. 10)
Asymmetric unit:
1 Sc 0.0000 0.0000 0.0000 x1
2 Zn 0.0000 0.5000 0.0000 x1
3 Zn 0.3349 0.5000 0.6687 x2
4 Zn 0.3356 0.0000 0.6701 x2
5 Rh 0.1696 0.2537 0.3403 x4
6 Rh 0.5000 0.2593 0.0000 x2

Output
- ρ (Mg/m³) = 9.62
- DFT total energy (eV per atom) = -5.261
- DFT formation energy (meV per atom) = -527
- total moment (μB per formula unit) = 0.0

# ScZn2Rh

A relaxed structure of ScZn2Rh (PBE, the Alexandria database).

Unit cell a=3.0265 b=4.0102 c=5.4819 alpha=90.00 beta=105.81 gamma=90.00
Space group Pm (No. 6)
Asymmetric unit:
1 Sc 0.0000 0.0000 0.0000 x1
2 Zn 0.6214 0.5000 0.2468 x1
3 Zn 0.7464 0.0000 0.4998 x1
4 Rh 0.3568 0.5000 0.7201 x1

Output
- ρ (Mg/m³) = 7.23
- DFT total energy (eV per atom) = -4.480
- DFT formation energy (meV per atom) = -422
- total moment (μB per formula unit) = 0.0

# Sc2ZnRh

A relaxed structure of Sc2ZnRh (PBE, the Alexandria database).

Unit cell a=3.3117 b=4.5084 c=9.7328 alpha=90.00 beta=90.00 gamma=90.00
Space group Imm2 (No. 44)
Asymmetric unit:
1 Sc 0.0000 0.0000 0.0000 x2
2 Sc 0.0000 0.5000 0.2172 x2
3 Zn 0.0000 0.5000 0.7722 x2
4 Rh 0.0000 0.0000 0.4906 x2

Output
- ρ (Mg/m³) = 5.90
- DFT total energy (eV per atom) = -5.847
- DFT formation energy (meV per atom) = -525
- total moment (μB per formula unit) = 0.0

# ScZn2Rh4

A relaxed structure of ScZn2Rh4 (PBE, the Alexandria database).

Unit cell a=6.0592 b=6.0592 c=6.0219 alpha=90.00 beta=90.00 gamma=90.00
Space group I4/mmm (No. 139)
Asymmetric unit:
1 Sc 0.0000 0.0000 0.0000 x2
2 Zn 0.0000 0.5000 0.0000 x4
3 Rh 0.2500 0.2500 0.2500 x8

Output
- ρ (Mg/m³) = 8.82
- DFT total energy (eV per atom) = -5.708
- DFT formation energy (meV per atom) = -239
- total moment (μB per formula unit) = 0.0

Question: The lowest DFT formation energy belongs to which entry?
Answer: ScZn5Rh6

Question: DFT total energy of number 2 (ScZn3Rh)?
Answer: -3.443 eV per atom

Question: Look up the ρ of the seventh one.
Answer: 5.90 Mg/m³

Question: Which of these has the highest DFT formation energy?
Answer: ScZnRh3